No. 1
The following is a GGA-PBE calculation of a relaxed structure of ZrTlRu2, from Alexandria via LeMat-Bulk.

As for the total moment: 2.1 μB/cell. The crystal system is cubic. As for the energy above the most stable polymorph in this dataset: 438 meV/atom. The energy of formation comes out at 341 meV/atom. The value obtained for the density of states at the Fermi level is 5.900 states/eV per cell. For the electronic total energy, the calculation gives -7.025 eV per atom.

a b c (Å): 4.6825 4.6825 4.6825
angles (deg): 60.00 60.00 60.00
Last column: nearest neighbours and their distance in Å.
Sites, in units of the cell vectors:
Ru 0.0000 0.0000 0.0000  4 Zr 2.87, 4 Ru 2.87
Ru 0.7500 0.7500 0.7500  4 Tl 2.87, 4 Ru 2.87
Tl 0.5000 0.5000 0.5000  4 Ru 2.87, 4 Zr 2.87
Zr 0.2500 0.2500 0.2500  4 Tl 2.87, 4 Ru 2.87

No. 2
The following is a GGA-PBE calculation of a relaxed structure of Li2BePt, from Alexandria via LeMat-Bulk.

As for the total moment: 0.0 μB/cell. The crystal system is orthorhombic. The energy of formation comes out at -271 meV/atom. The value obtained for the density of states at the Fermi level is 0.960 states/eV per cell. For the electronic total energy, the calculation gives -3.670 eV per atom.

a b c (Å): 4.6170 4.6170 2.7586
angles (deg): 90.00 90.00 119.78
Last column: nearest neighbours and their distance in Å.
Sites, in units of the cell vectors:
Be 0.0000 0.5000 0.5000  2 Pt 2.32
Li 0.0000 0.0000 0.0000  2 Li 2.32
Li 0.5000 0.5000 0.0000  2 Li 2.32
Pt 0.5000 0.0000 0.5000  2 Be 2.32

No. 3
The following is a GGA-PBE calculation of a relaxed structure of CaLa2Sn3Pd6, from Alexandria via LeMat-Bulk.

As for the total moment: 0.0 μB/cell. The crystal system is tetragonal. The energy of formation comes out at -491 meV/atom. The value obtained for the density of states at the Fermi level is 7.275 states/eV per cell. For the electronic total energy, the calculation gives -5.076 eV per atom.

a b c (Å): 4.1338 4.1338 17.9440
angles (deg): 90.00 90.00 90.00
Last column: nearest neighbours and their distance in Å.
Sites, in units of the cell vectors:
Ca 0.5000 0.5000 0.5000  8 Pd 2.98
La 0.5000 0.5000 0.1806  4 Pd 3.00
La 0.5000 0.5000 0.8194  4 Pd 3.00
Sn 0.0000 0.0000 0.2908  5 Pd 2.62-2.67
Sn 0.0000 0.0000 0.7091  5 Pd 2.62-2.67
Sn 0.0000 0.0000 0.0000  2 Pd 2.55
Pd 0.0000 0.5000 0.6197  2 Sn 2.62, 4 Pd 2.92
Pd 0.5000 0.0000 0.3803  2 Sn 2.62, 4 Pd 2.92
Pd 0.5000 0.0000 0.6197  2 Sn 2.62, 4 Pd 2.92
Pd 0.0000 0.0000 0.1422  2 Sn 2.55-2.67
Pd 0.0000 0.5000 0.3803  2 Sn 2.62, 4 Pd 2.92
Pd 0.0000 0.0000 0.8578  2 Sn 2.55-2.67

No. 4
The following is a GGA-PBE calculation of a relaxed structure of BaNa2Hg6, from Alexandria via LeMat-Bulk.

As for the total moment: 0.0 μB/cell. The crystal system is monoclinic. As for the energy above the most stable polymorph in this dataset: 0 meV/atom. The energy of formation comes out at -301 meV/atom. The value obtained for the density of states at the Fermi level is 3.447 states/eV per cell. For the electronic total energy, the calculation gives -1.009 eV per atom.

a b c (Å): 3.8589 9.0547 9.0547
angles (deg): 58.79 77.81 77.81
Last column: nearest neighbours and their distance in Å.
Sites, in units of the cell vectors:
Ba 0.0000 0.0000 0.0000  12 Hg 3.54-3.71, 2 Ba 3.86
Na 0.1420 0.3573 0.3573  10 Hg 3.16-3.49
Na 0.8580 0.6427 0.6427  10 Hg 3.16-3.49
Hg 0.3215 0.0003 0.3576  4 Hg 3.07-3.18, 1 Na 3.16
Hg 0.6785 0.9997 0.6424  4 Hg 3.07-3.18, 1 Na 3.16
Hg 0.6785 0.6424 0.9997  4 Hg 3.07-3.18, 1 Na 3.16
Hg 0.5000 0.3343 0.6657  3 Hg 2.95-3.07, 4 Na 3.26-3.27
Hg 0.5000 0.6657 0.3343  3 Hg 2.95-3.07, 4 Na 3.26-3.27
Hg 0.3215 0.3576 0.0003  4 Hg 3.07-3.18, 1 Na 3.16

No. 5
The following is a GGA-PBE calculation of a relaxed structure of Rb2ScTlF6, from Alexandria via LeMat-Bulk.

The calculation puts the raw formation energy at -298.9 kJ per mole of atoms. As for the total moment: 0.0 μB/cell. The crystal system is triclinic. The value obtained for the density of states at the Fermi level is 0.000 states/eV per cell. For the electronic total energy, the calculation gives -5.284 eV per atom.

a b c (Å): 6.7022 6.6978 6.5141
angles (deg): 58.73 58.84 59.83
Last column: nearest neighbours and their distance in Å.
Sites, in units of the cell vectors:
Rb 0.5591 0.5589 0.3258  6 F 2.84-3.11
Rb 0.0731 0.0736 0.7773  6 F 2.84-3.11
Sc 0.3162 0.3162 0.0515  6 F 2.05
Tl 0.8162 0.8162 0.5515  6 F 2.75
F 0.5138 0.1883 0.2759  1 Sc 2.05
F 0.1840 0.0241 0.2853  1 Sc 2.05
F 0.0247 0.5168 0.2747  1 Sc 2.05
F 0.4482 0.6083 0.8178  1 Sc 2.05
F 0.6076 0.1153 0.8284  1 Sc 2.05
F 0.1188 0.4440 0.8269  1 Sc 2.05

No. 6
The following is a GGA-PBE calculation of a relaxed structure of PrErAu, from Alexandria via LeMat-Bulk.

As for the total moment: 0.0 μB/cell. The crystal system is trigonal. As for the energy above the most stable polymorph in this dataset: 189 meV/atom. The energy of formation comes out at -408 meV/atom. The value obtained for the density of states at the Fermi level is 2.957 states/eV per cell. For the electronic total energy, the calculation gives -4.615 eV per atom.

a b c (Å): 4.0798 4.9160 4.9160
angles (deg): 120.00 90.00 90.00
Last column: nearest neighbours and their distance in Å.
Sites, in units of the cell vectors:
Pr 0.6921 0.6667 0.3333  3 Au 3.30, 6 Er 3.47-3.52
Au 0.1046 0.0000 0.0000  3 Er 2.87
Er 0.2033 0.3333 0.6667  3 Au 2.87

No. 7
The following is a GGA-PBE calculation of a relaxed structure of La3Pm2SmSe6, from Alexandria via LeMat-Bulk.

The calculation puts the raw formation energy at -185.4 kJ per mole of atoms. As for the total moment: 0.0 μB/cell. The crystal system is monoclinic. The value obtained for the density of states at the Fermi level is 6.355 states/eV per cell. For the electronic total energy, the calculation gives -6.081 eV per atom.

a b c (Å): 7.3668 7.3668 7.3628
angles (deg): 99.60 99.60 120.16
Last column: nearest neighbours and their distance in Å.
Sites, in units of the cell vectors:
La 0.1674 0.8326 0.5000  6 Se 3.03-3.04
La 0.8326 0.1674 0.5000  6 Se 3.03-3.04
La 0.5000 0.5000 0.5000  6 Se 3.04
Pm 0.3335 0.6665 0.0000  6 Se 2.97-2.98
Pm 0.6665 0.3335 0.0000  6 Se 2.97-2.98
Sm 0.0000 0.0000 0.0000  6 Se 2.96
Se 0.9197 0.5877 0.7587  1 Sm 2.96, 2 Pm 2.97-2.98, 3 La 3.03-3.04
Se 0.7487 0.7487 0.2422  1 Sm 2.96, 2 Pm 2.98, 3 La 3.04
Se 0.0803 0.4123 0.2413  1 Sm 2.96, 2 Pm 2.97-2.98, 3 La 3.03-3.04
Se 0.5877 0.9197 0.7587  1 Sm 2.96, 2 Pm 2.97-2.98, 3 La 3.03-3.04
Se 0.2513 0.2513 0.7578  1 Sm 2.96, 2 Pm 2.98, 3 La 3.04
Se 0.4123 0.0803 0.2413  1 Sm 2.96, 2 Pm 2.97-2.98, 3 La 3.03-3.04

No. 8
The following is a GGA-PBE calculation of a relaxed structure of NpScRuO6, from Alexandria via LeMat-Bulk.

The calculation puts the raw formation energy at -218.2 kJ per mole of atoms. As for the total moment: 3.9 μB/cell. The crystal system is trigonal. The value obtained for the density of states at the Fermi level is 16.784 states/eV per cell. For the electronic total energy, the calculation gives -8.739 eV per atom.

a b c (Å): 5.4101 5.4101 8.6668
angles (deg): 90.00 90.00 120.00
Last column: nearest neighbours and their distance in Å.
Sites, in units of the cell vectors:
Np 0.6667 0.3333 0.2500  6 O 2.10
Np 0.3333 0.6667 0.7500  6 O 2.10
Sc 0.3333 0.6667 0.2500  6 O 2.14
Sc 0.6667 0.3333 0.7500  6 O 2.14
Ru 0.0000 0.0000 0.0000  6 O 2.07
Ru 0.0000 0.0000 0.5000  6 O 2.07
O 0.6775 0.6718 0.1265  1 Ru 2.07, 1 Np 2.10, 1 Sc 2.14
O 0.9944 0.3225 0.1265  1 Ru 2.07, 1 Np 2.10, 1 Sc 2.14
O 0.3225 0.9944 0.6265  1 Ru 2.07, 1 Np 2.10, 1 Sc 2.14
O 0.0056 0.6775 0.8735  1 Ru 2.07, 1 Np 2.10, 1 Sc 2.14
O 0.3282 0.3225 0.3735  1 Ru 2.07, 1 Np 2.10, 1 Sc 2.14
O 0.9944 0.6718 0.3735  1 Ru 2.07, 1 Np 2.10, 1 Sc 2.14
O 0.6718 0.9944 0.8735  1 Ru 2.07, 1 Np 2.10, 1 Sc 2.14
O 0.6775 0.0056 0.3735  1 Ru 2.07, 1 Np 2.10, 1 Sc 2.14
O 0.0056 0.3282 0.6265  1 Ru 2.07, 1 Np 2.10, 1 Sc 2.14
O 0.3282 0.0056 0.1265  1 Ru 2.07, 1 Np 2.10, 1 Sc 2.14
O 0.6718 0.6775 0.6265  1 Ru 2.07, 1 Np 2.10, 1 Sc 2.14
O 0.3225 0.3282 0.8735  1 Ru 2.07, 1 Np 2.10, 1 Sc 2.14

No. 9
The following is a GGA-PBE calculation of a relaxed structure of Li23MgRh6, from Alexandria via LeMat-Bulk.

As for the total moment: 0.0 μB/cell. The crystal system is cubic. The energy of formation comes out at -63 meV/atom. The value obtained for the density of states at the Fermi level is 11.039 states/eV per cell. For the electronic total energy, the calculation gives -3.054 eV per atom.

a b c (Å): 8.6158 8.6158 8.6158
angles (deg): 60.00 60.00 60.00
Last column: nearest neighbours and their distance in Å.
Sites, in units of the cell vectors:
Li 0.6401 0.1200 0.1200  4 Li 2.53-2.68, 3 Rh 2.67
Li 0.3599 0.8800 0.8800  4 Li 2.53-2.68, 3 Rh 2.67
Li 0.1200 0.1200 0.6401  4 Li 2.53-2.68, 3 Rh 2.67
Li 0.1200 0.1200 0.1200  4 Li 2.53-2.68, 3 Rh 2.67
Li 0.8800 0.8800 0.3599  4 Li 2.53-2.68, 3 Rh 2.67
Li 0.8800 0.8800 0.8800  4 Li 2.53-2.68, 3 Rh 2.67
Li 0.1200 0.6401 0.1200  4 Li 2.53-2.68, 3 Rh 2.67
Li 0.8800 0.3599 0.8800  4 Li 2.53-2.68, 3 Rh 2.67
Li 0.5000 0.5000 0.0000  8 Li 2.61-2.68
Li 0.0000 0.0000 0.5000  8 Li 2.61-2.68
Li 0.5000 0.0000 0.0000  8 Li 2.61-2.68
Li 0.0000 0.5000 0.5000  8 Li 2.61-2.68
Li 0.5000 0.0000 0.5000  8 Li 2.61-2.68
Li 0.0000 0.5000 0.0000  8 Li 2.61-2.68
Li 0.8856 0.3715 0.3715  3 Rh 2.61, 3 Li 2.61, 1 Mg 2.71
Li 0.1144 0.6285 0.6285  3 Rh 2.61, 3 Li 2.61, 1 Mg 2.71
Li 0.3715 0.3715 0.8856  3 Rh 2.61, 3 Li 2.61, 1 Mg 2.71
Li 0.3715 0.3715 0.3715  3 Rh 2.61, 3 Li 2.61, 1 Mg 2.71
Li 0.6285 0.6285 0.1144  3 Rh 2.61, 3 Li 2.61, 1 Mg 2.71
Li 0.6285 0.6285 0.6285  3 Rh 2.61, 3 Li 2.61, 1 Mg 2.71
Li 0.3715 0.8856 0.3715  3 Rh 2.61, 3 Li 2.61, 1 Mg 2.71
Li 0.6285 0.1144 0.6285  3 Rh 2.61, 3 Li 2.61, 1 Mg 2.71
Li 0.0000 0.0000 0.0000  8 Li 2.53
Mg 0.5000 0.5000 0.5000  8 Li 2.71, 6 Rh 2.94
Rh 0.7411 0.7411 0.2589  8 Li 2.61-2.67
Rh 0.2589 0.2589 0.7411  8 Li 2.61-2.67
Rh 0.7411 0.2589 0.2589  8 Li 2.61-2.67
Rh 0.2589 0.7411 0.7411  8 Li 2.61-2.67
Rh 0.7411 0.2589 0.7411  8 Li 2.61-2.67
Rh 0.2589 0.7411 0.2589  8 Li 2.61-2.67

No. 10
The following is a GGA-PBE calculation of a relaxed structure of La6NiPd2Cl3, from Alexandria via LeMat-Bulk.

The calculation puts the raw formation energy at -106.4 kJ per mole of atoms. As for the total moment: 0.0 μB/cell. The crystal system is monoclinic. The value obtained for the density of states at the Fermi level is 11.912 states/eV per cell. For the electronic total energy, the calculation gives -5.376 eV per atom.

a b c (Å): 4.3134 8.9844 9.7039
angles (deg): 108.32 102.84 90.00
Last column: nearest neighbours and their distance in Å.
Sites, in units of the cell vectors:
La 0.3503 0.9081 0.7006  1 Ni 2.68
La 0.6756 0.5706 0.3513  3 Pd 2.83-2.99
La 0.6497 0.0919 0.2994  1 Ni 2.68
La 0.0076 0.2268 0.0151  1 Pd 2.84, 2 Ni 2.94, 1 Cl 3.17
La 0.9924 0.7732 0.9849  1 Pd 2.84, 2 Ni 2.94, 1 Cl 3.17
La 0.3244 0.4294 0.6487  3 Pd 2.83-2.99
Ni 0.5000 0.0000 0.0000  6 La 2.68-2.94
Pd 0.8337 0.6660 0.6674  6 La 2.83-3.01
Pd 0.1663 0.3340 0.3326  6 La 2.83-3.01
Cl 0.5000 0.5000 0.0000  6 La 3.18-3.30
Cl 0.8329 0.1651 0.6658  6 La 3.17-3.31
Cl 0.1671 0.8349 0.3342  6 La 3.17-3.31

No. 11
The following is a GGA-PBE calculation of a relaxed structure of NaErCdAg, from Alexandria via LeMat-Bulk.

As for the total moment: 0.0 μB/cell. The crystal system is cubic. The energy of formation comes out at -84 meV/atom. The value obtained for the density of states at the Fermi level is 3.648 states/eV per cell. For the electronic total energy, the calculation gives -2.496 eV per atom.

a b c (Å): 5.1174 5.1174 5.1174
angles (deg): 60.00 60.00 60.00
Last column: nearest neighbours and their distance in Å.
Sites, in units of the cell vectors:
Na 0.5000 0.5000 0.5000  4 Cd 3.13, 4 Ag 3.13
Cd 0.7500 0.7500 0.7500  4 Na 3.13, 4 Er 3.13
Ag 0.2500 0.2500 0.2500  4 Er 3.13, 4 Na 3.13
Er 0.0000 0.0000 0.0000  4 Cd 3.13, 4 Ag 3.13

No. 12
The following is a GGA-PBE calculation of a relaxed structure of Dy2YEr4, from Alexandria via LeMat-Bulk.

As for the total moment: 0.0 μB/cell. The crystal system is triclinic. As for the energy above the most stable polymorph in this dataset: 39 meV/atom. The energy of formation comes out at 79 meV/atom. The value obtained for the density of states at the Fermi level is 22.819 states/eV per cell. For the electronic total energy, the calculation gives -4.766 eV per atom.

a b c (Å): 8.3794 9.8131 9.8054
angles (deg): 144.36 97.48 95.13
Last column: nearest neighbours and their distance in Å.
Sites, in units of the cell vectors:
Dy 0.5544 0.5051 0.7376  7 Er 3.32-3.67, 1 Y 3.50, 2 Dy 3.53-3.65
Dy 0.6956 0.9330 0.4505  7 Er 3.32-3.67, 1 Y 3.50, 2 Dy 3.53-3.65
Dy 0.6252 0.5606 0.4358  8 Er 3.45-3.64, 2 Dy 3.53, 2 Y 3.65
Dy 0.1247 0.2595 0.6343  8 Er 3.45-3.64, 2 Y 3.53-3.54, 2 Dy 3.65
Y 0.1945 0.3172 0.3334  7 Er 3.33-3.68, 3 Dy 3.50-3.65
Y 0.0556 0.8897 0.6236  7 Er 3.33-3.68, 3 Dy 3.50-3.65
Er 0.7692 0.1102 0.2655  5 Er 3.29-3.68, 4 Dy 3.32-3.64, 1 Y 3.63
Er 0.2713 0.5778 0.2308  4 Er 3.29-3.65, 2 Y 3.33-3.47, 3 Dy 3.46-3.64
Er 0.9789 0.7088 0.8060  4 Er 3.29-3.65, 2 Y 3.33-3.47, 3 Dy 3.45-3.63
Er 0.8365 0.2154 0.0141  3 Y 3.35-3.68, 5 Er 3.40-3.72, 3 Dy 3.45-3.56
Er 0.3382 0.8946 0.1931  5 Dy 3.35-3.67, 5 Er 3.40-3.68, 1 Y 3.55
Er 0.4806 0.2462 0.8407  5 Er 3.29-3.68, 4 Dy 3.32-3.64, 1 Y 3.63
Er 0.4136 0.9272 0.8784  3 Y 3.35-3.68, 5 Er 3.40-3.72, 3 Dy 3.45-3.56
Er 0.9117 0.6048 0.0563  5 Dy 3.35-3.67, 5 Er 3.41-3.68, 1 Y 3.55

Copy entry 6 word for word.
The following is a GGA-PBE calculation of a relaxed structure of PrErAu, from Alexandria via LeMat-Bulk.

As for the total moment: 0.0 μB/cell. The crystal system is trigonal. As for the energy above the most stable polymorph in this dataset: 189 meV/atom. The energy of formation comes out at -408 meV/atom. The value obtained for the density of states at the Fermi level is 2.957 states/eV per cell. For the electronic total energy, the calculation gives -4.615 eV per atom.

a b c (Å): 4.0798 4.9160 4.9160
angles (deg): 120.00 90.00 90.00
Last column: nearest neighbours and their distance in Å.
Sites, in units of the cell vectors:
Pr 0.6921 0.6667 0.3333  3 Au 3.30, 6 Er 3.47-3.52
Au 0.1046 0.0000 0.0000  3 Er 2.87
Er 0.2033 0.3333 0.6667  3 Au 2.87

Number 7 is which compound? La3Pm2SmSe6